Here is an optimized crystal structure of Sm6AgSe5 from Alexandria. Energies are from PBE.

Computed properties:
DFT total energy ... -5.6121 eV per atom
Energy relative to the elements, uncorrected ... -1.563 eV/atom
Density of states at the Fermi level ... 0.45 states/eV per atom

Cell and atoms, written as CIF:
```
data_Sm6AgSe5
_symmetry_space_group_name_H-M 'C 1 2/m 1'
_symmetry_Int_Tables_number 12
_cell_length_a 7.2590
_cell_length_b 12.5877
_cell_length_c 7.2579
_cell_angle_alpha 90.00
_cell_angle_beta 109.53
_cell_angle_gamma 90.00
loop_
_symmetry_equiv_pos_as_xyz
'x,y,z'
'-x,-y,-z'
'-x,y,-z'
'x,-y,z'
'x+1/2,y+1/2,z'
'-x+1/2,-y+1/2,-z'
'-x+1/2,y+1/2,-z'
'x+1/2,-y+1/2,z'
loop_
_atom_site_label
_atom_site_type_symbol
_atom_site_fract_x
_atom_site_fract_y
_atom_site_fract_z
Sm1 Sm 0.2456 0.0000 0.2526
Sm2 Sm 0.2472 0.1701 0.7478
Ag1 Ag 0.0000 0.5000 0.0000
Se1 Se 0.0000 0.0000 0.5000
Se2 Se 0.0000 0.1656 0.0000
Se3 Se 0.0000 0.3336 0.5000
```



Here is an optimized crystal structure of KNdCdBr6 from Alexandria. Energies are from PBE.

Computed properties:
DFT total energy ... -3.3809 eV per atom
Energy relative to the elements, uncorrected ... -1.512 eV/atom
Density of states at the Fermi level ... 0.00 states/eV per atom

Cell and atoms, written as CIF:
```
data_KNdCdBr6
_symmetry_space_group_name_H-M 'P -3 1 c'
_symmetry_Int_Tables_number 163
_symmetry_space_group_name_Hall '-P 3 2c'
_cell_length_a 7.3991
_cell_length_b 7.3991
_cell_length_c 14.5814
_cell_angle_alpha 90.00
_cell_angle_beta 90.00
_cell_angle_gamma 120.00
loop_
_atom_site_label
_atom_site_type_symbol
_atom_site_fract_x
_atom_site_fract_y
_atom_site_fract_z
K1 K 0.0000 0.0000 0.0000
Nd1 Nd 0.3333 0.6667 0.2500
Cd1 Cd 0.3333 0.6667 0.7500
Br1 Br 0.0091 0.3743 0.6364
```



Here is an optimized crystal structure of CrReI3 from Alexandria. Energies are from PBE.

Computed properties:
E above lowest polymorph ... 0 meV per atom
DFT total energy ... -4.3199 eV per atom
Energy relative to the elements, uncorrected ... 1.025 eV/atom
Density of states at the Fermi level ... 0.62 states/eV per atom

Cell and atoms, written as CIF:
```
data_CrReI3
_symmetry_space_group_name_H-M 'P m -3 m'
_symmetry_Int_Tables_number 221
_symmetry_space_group_name_Hall '-P 4 2 3'
_cell_length_a 5.5137
_cell_length_b 5.5137
_cell_length_c 5.5137
_cell_angle_alpha 90.00
_cell_angle_beta 90.00
_cell_angle_gamma 90.00
loop_
_atom_site_label
_atom_site_type_symbol
_atom_site_fract_x
_atom_site_fract_y
_atom_site_fract_z
Cr1 Cr 0.0000 0.0000 0.0000
Re1 Re 0.5000 0.5000 0.5000
I1 I 0.0000 0.5000 0.5000
```



Question: Which of these has the lowest energy relative to the elements, uncorrected?
Answer: Sm6AgSe5